The following is a DFT calculation (PBE) of Tb2Ce3ThN6 after structural relaxation.

Summary:
formation energy from raw total energies: -151 kJ/mol of atoms

a b c (Å): 6.170 10.686 6.180
angles (deg): 90.00 109.41 90.00
Space group C2/m (No. 12)
Inequivalent atoms, fractional coordinates:
Tb1 0.000 0.166 0.000 [4 per cell]
Ce1 0.000 0.000 0.500 [2 per cell]
Ce2 0.000 0.332 0.500 [4 per cell]
Th1 0.000 0.500 0.000 [2 per cell]
N1 0.248 0.000 0.249 [4 per cell]
N2 0.249 0.167 0.750 [8 per cell]